1.
# Er2TlIn (PBE-GGA, optimized geometry)
data_Er2TlIn
_chemical_formula_sum 'Er8 Tl4 In4'
_space_group_name_H-M_alt 'F m -3 m'
_space_group_IT_number 225
_space_group_name_Hall '-F 4 2 3'
_cell_length_a 7.5030
_cell_length_b 7.5030
_cell_length_c 7.5030
_cell_angle_alpha 90.00
_cell_angle_beta 90.00
_cell_angle_gamma 90.00
loop_
_atom_site_label
_atom_site_type_symbol
_atom_site_fract_x
_atom_site_fract_y
_atom_site_fract_z
Er1 Er 0.2500 0.2500 0.2500
Tl1 Tl 0.0000 0.0000 0.0000
In1 In 0.0000 0.0000 0.5000
# VASP energy in eV per atom: -3.9330
# Energy relative to the elements in eV/atom: -0.38
# Calculated density in kg/m³: 10280

***

2.
# Er7Tl3In (PBE-GGA, optimized geometry)
data_Er7Tl3In
_chemical_formula_sum 'Er14 Tl6 In2'
_space_group_name_H-M_alt 'C 1 2/m 1'
_space_group_IT_number 12
_cell_length_a 10.7479
_cell_length_b 11.3891
_cell_length_c 5.9151
_cell_angle_alpha 90.00
_cell_angle_beta 116.33
_cell_angle_gamma 90.00
loop_
_space_group_symop_operation_xyz
'x,y,z'
'-x,-y,-z'
'-x,y,-z'
'x,-y,z'
'x+1/2,y+1/2,z'
'-x+1/2,-y+1/2,-z'
'-x+1/2,y+1/2,-z'
'x+1/2,-y+1/2,z'
loop_
_atom_site_label
_atom_site_type_symbol
_atom_site_fract_x
_atom_site_fract_y
_atom_site_fract_z
Er1 Er 0.0000 0.0000 0.0000
Er2 Er 0.1767 0.2760 0.6943
Er3 Er 0.1853 0.5000 0.1593
Tl1 Tl 0.0000 0.2701 0.0000
Tl2 Tl 0.0000 0.5000 0.5000
In1 In 0.0000 0.0000 0.5000
# VASP energy in eV per atom: -3.8693
# Energy relative to the elements in eV/atom: -0.07
# Calculated density in kg/m³: 9717

***

3.
# Er3TlIn2 (PBE-GGA, optimized geometry)
data_Er3TlIn2
_chemical_formula_sum 'Er3 Tl1 In2'
_space_group_name_H-M_alt 'P -3 m 1'
_space_group_IT_number 164
_space_group_name_Hall '-P 3 2"'
_cell_length_a 5.2973
_cell_length_b 5.2973
_cell_length_c 6.4906
_cell_angle_alpha 90.00
_cell_angle_beta 90.00
_cell_angle_gamma 120.00
loop_
_atom_site_label
_atom_site_type_symbol
_atom_site_fract_x
_atom_site_fract_y
_atom_site_fract_z
Er1 Er 0.0000 0.0000 0.0000
Er2 Er 0.3333 0.6667 0.6663
Tl1 Tl 0.0000 0.0000 0.5000
In1 In 0.3333 0.6667 0.1653
# VASP energy in eV per atom: -3.9796
# Energy relative to the elements in eV/atom: -0.39
# Energy relative to the lowest polymorph listed for this composition in meV/atom: 9
# Calculated density in kg/m³: 9852

***

Which value of VASP energy does entry 3 give?
-3.9796 eV per atom

***

Among the records above, which one has the lowest energy relative to the elements?
Er3TlIn2

***

Which of these has the lowest VASP energy?
Er3TlIn2